{
  "formula": "NbTl2Hg",
  "functional": "PBE",
  "state": "optimized geometry",
  "energy_ev_per_atom": -3.098,
  "relative_energy_ev_per_atom": 0.140,
  "formation_enthalpy_0k_mev_per_atom": 678,
  "mass_density_g_cm3": 12.1,
  "dos_ef_per_ev_cell": 3.480,
  "lattice_angstrom": [[0.0000, 3.6436, 3.6436], [3.6436, 0.0000, 3.6436], [3.6436, 3.6436, 0.0000]],
  "species": ["Nb", "Tl", "Tl", "Hg"],
  "fractional_positions": [[0.0000, 0.0000, 0.0000], [0.2500, 0.2500, 0.2500], [0.7500, 0.7500, 0.7500], [0.5000, 0.5000, 0.5000]]
}

{
  "formula": "Tb8Ga3Co",
  "functional": "PBE",
  "state": "optimized geometry",
  "energy_ev_per_atom": -4.832,
  "formation_enthalpy_0k_mev_per_atom": -396,
  "mass_density_g_cm3": 8.4,
  "dos_ef_per_ev_cell": 6.115,
  "lattice_angstrom": [[10.0769, 0.0000, 0.0000], [-5.0384, 8.7268, 0.0000], [0.0000, 0.0000, 6.9528]],
  "species": ["Tb", "Tb", "Tb", "Tb", "Tb", "Tb", "Tb", "Tb", "Tb", "Tb", "Tb", "Tb", "Tb", "Tb", "Tb", "Tb", "Ga", "Ga", "Ga", "Ga", "Ga", "Ga", "Co", "Co"],
  "fractional_positions": [[0.0000, 0.0000, 0.0949], [0.0000, 0.0000, 0.5949], [0.0738, 0.5369, 0.1193], [0.1725, 0.3450, 0.8163], [0.1725, 0.8275, 0.8163], [0.3333, 0.6667, 0.5000], [0.3450, 0.1725, 0.3163], [0.4631, 0.5369, 0.1193], [0.4631, 0.9262, 0.1193], [0.5369, 0.0738, 0.6193], [0.5369, 0.4631, 0.6193], [0.6550, 0.8275, 0.8163], [0.6667, 0.3333, 0.0000], [0.8275, 0.1725, 0.3163], [0.8275, 0.6550, 0.3163], [0.9262, 0.4631, 0.6193], [0.1635, 0.3270, 0.3673], [0.1635, 0.8365, 0.3673], [0.3270, 0.1635, 0.8673], [0.6730, 0.8365, 0.3673], [0.8365, 0.1635, 0.8673], [0.8365, 0.6730, 0.8673], [0.3333, 0.6667, 0.8848], [0.6667, 0.3333, 0.3848]]
}

Copy entry 1 word for word.
{
  "formula": "NbTl2Hg",
  "functional": "PBE",
  "state": "optimized geometry",
  "energy_ev_per_atom": -3.098,
  "relative_energy_ev_per_atom": 0.140,
  "formation_enthalpy_0k_mev_per_atom": 678,
  "mass_density_g_cm3": 12.1,
  "dos_ef_per_ev_cell": 3.480,
  "lattice_angstrom": [[0.0000, 3.6436, 3.6436], [3.6436, 0.0000, 3.6436], [3.6436, 3.6436, 0.0000]],
  "species": ["Nb", "Tl", "Tl", "Hg"],
  "fractional_positions": [[0.0000, 0.0000, 0.0000], [0.2500, 0.2500, 0.2500], [0.7500, 0.7500, 0.7500], [0.5000, 0.5000, 0.5000]]
}